# 1
{
  "formula": "YPbF5",
  "functional": "PBE",
  "state": "optimized geometry",
  "e_form_raw_ev_per_fu": -23.64,
  "final_energy_ry_per_atom": -0.453,
  "density_g_cm3": 6.4,
  "dos_at_fermi_per_ev_atom": 0.000,
  "cell": [[-0.427, -3.970, -1.721], [5.449, -0.026, -2.181], [2.500, -5.233, 5.960]],
  "species": ["Y", "Y", "Pb", "Pb", "F", "F", "F", "F", "F", "F", "F", "F", "F", "F"],
  "fractional_positions": [[0.074, 0.250, 0.851], [0.926, 0.750, 0.149], [0.323, 0.250, 0.354], [0.677, 0.750, 0.646], [0.190, 0.401, 0.076], [0.198, 0.493, 0.622], [0.380, 0.750, 0.240], [0.180, 0.007, 0.622], [0.267, 0.901, 0.924], [0.733, 0.099, 0.076], [0.820, 0.993, 0.378], [0.620, 0.250, 0.760], [0.802, 0.507, 0.378], [0.810, 0.599, 0.924]]
}



# 2
{
  "formula": "TaTi2Pd",
  "functional": "PBE",
  "state": "optimized geometry",
  "formation_energy_mev_per_atom": -182,
  "final_energy_ry_per_atom": -0.617,
  "relative_energy_mev_per_atom": 145,
  "density_g_cm3": 9.7,
  "dos_at_fermi_per_ev_atom": 1.386,
  "cell": [[0.000, 3.197, 3.197], [3.197, 0.000, 3.197], [3.197, 3.197, 0.000]],
  "species": ["Ti", "Ti", "Pd", "Ta"],
  "fractional_positions": [[0.250, 0.250, 0.250], [0.750, 0.750, 0.750], [0.000, 0.000, 0.000], [0.500, 0.500, 0.500]]
}



# 3
{
  "formula": "K2RbNp2O7",
  "functional": "PBE",
  "state": "optimized geometry",
  "e_form_raw_ev_per_fu": -30.54,
  "final_energy_ry_per_atom": -0.578,
  "density_g_cm3": 6.0,
  "dos_at_fermi_per_ev_atom": 0.428,
  "cell": [[-1.410, 3.685, -1.768], [-0.588, -2.034, -3.770], [-11.339, -1.703, 0.211]],
  "species": ["K", "K", "Rb", "Np", "Np", "O", "O", "O", "O", "O", "O", "O"],
  "fractional_positions": [[0.810, 0.810, 0.381], [0.190, 0.190, 0.619], [0.000, 0.000, 0.000], [0.598, 0.598, 0.805], [0.402, 0.402, 0.195], [0.500, 0.500, 0.000], [0.314, 0.314, 0.372], [0.686, 0.686, 0.628], [0.903, 0.403, 0.195], [0.403, 0.903, 0.195], [0.597, 0.097, 0.805], [0.097, 0.597, 0.805]]
}



# 4
{
  "formula": "Tm6GeAs3Se2",
  "functional": "PBE",
  "state": "optimized geometry",
  "e_form_raw_ev_per_fu": -18.36,
  "final_energy_ry_per_atom": -0.433,
  "density_g_cm3": 8.6,
  "dos_at_fermi_per_ev_atom": 0.272,
  "cell": [[7.035, 0.004, 0.001], [-3.512, 6.095, 0.001], [-1.174, -2.033, 6.628]],
  "species": ["Tm", "Tm", "Tm", "Tm", "Tm", "Tm", "Ge", "As", "As", "As", "Se", "Se"],
  "fractional_positions": [[0.915, 0.590, 0.745], [0.760, 0.760, 0.256], [0.085, 0.410, 0.255], [0.590, 0.915, 0.745], [0.240, 0.240, 0.744], [0.410, 0.085, 0.255], [0.000, 0.000, 0.000], [0.170, 0.830, 0.500], [0.830, 0.170, 0.500], [0.500, 0.500, 0.500], [0.334, 0.666, 0.000], [0.666, 0.334, 0.000]]
}